No. 1
VASP calculation (PBE) on a relaxed Pr2CdGe4Ir3 crystal.

a = 4.3608 Å, b = 4.3608 Å, c = 10.3737 Å
α = 90.00°, β = 90.00°, γ = 90.00°
Space group P-4m2 (No. 115)
One atom of each set of equivalent atoms:
Pr (0.0000, 0.5000, 0.2351)
Cd (0.0000, 0.0000, 0.5000)
Ge (0.0000, 0.0000, 0.0000)
Ge (0.0000, 0.5000, 0.6465)
Ge (0.5000, 0.5000, 0.0000)
Ir (0.0000, 0.5000, 0.8813)
Ir (0.5000, 0.5000, 0.5000)

Computed properties:
Crystal system = tetragonal
Final energy = -61.791 eV for the cell shown
N(E_F) = 4.8 states/eV/f.u.
Energy of formation = -0.63 eV per atom

=====

No. 2
VASP calculation (PBE) on a relaxed Be2AgBr crystal.

a = 3.1649 Å, b = 3.1649 Å, c = 21.1420 Å
α = 90.00°, β = 90.00°, γ = 120.00°
Space group R-3m (No. 166, hexagonal axes)
One atom of each set of equivalent atoms:
Be (0.0000, 0.0000, 0.2503)
Ag (0.0000, 0.0000, 0.0000)
Br (0.0000, 0.0000, 0.5000)

Computed properties:
Crystal system = trigonal
Final energy = -30.652 eV for the cell shown
Offset from the most stable computed form = 261 meV/atom
N(E_F) = 1.0 states/eV/f.u.
E_form (uncorrected) = 0.440 eV/atom

=====

No. 3
VASP calculation (PBE) on a relaxed Li2AlIn crystal.

a = 2.9656 Å, b = 4.1579 Å, c = 5.9011 Å
α = 90.00°, β = 90.56°, γ = 90.00°
Space group P2/m (No. 10)
One atom of each set of equivalent atoms:
Li (0.0012, 0.0000, 0.2384)
Al (0.5000, 0.5000, 0.0000)
In (0.5000, 0.5000, 0.5000)

Computed properties:
Crystal system = monoclinic
Final energy = -10.965 eV for the cell shown
N(E_F) = 1.4 states/eV/f.u.
Energy of formation = -0.16 eV per atom

=====

No. 4
VASP calculation (PBE) on a relaxed La2Zn12Ru5 crystal.

a = 9.0785 Å, b = 9.0785 Å, c = 13.2480 Å
α = 90.00°, β = 90.00°, γ = 120.00°
Space group R-3m (No. 166, hexagonal axes)
One atom of each set of equivalent atoms:
La (0.0000, 0.0000, 0.1720)
Zn (0.0000, 0.2876, 0.5000)
Zn (0.0026, 0.5013, 0.3476)
Ru (0.0000, 0.0000, 0.4040)
Ru (0.0000, 0.5000, 0.0000)

Computed properties:
Crystal system = trigonal
Final energy = -226.666 eV for the cell shown
N(E_F) = 14.5 states/eV/f.u.
Energy of formation = -0.21 eV per atom

=====

No. 5
VASP calculation (PBE) on a relaxed Sm3ErTh4S8 crystal.

a = 7.9056 Å, b = 7.9056 Å, c = 20.1594 Å
α = 90.00°, β = 90.00°, γ = 120.00°
Space group R-3m (No. 166, hexagonal axes)
One atom of each set of equivalent atoms:
Sm (0.0000, 0.5000, 0.0000)
Er (0.0000, 0.0000, 0.0000)
Th (0.0000, 0.0000, 0.5000)
Th (0.0000, 0.5000, 0.5000)
S (0.0000, 0.0000, 0.2522)
S (0.0061, 0.5030, 0.7464)

Computed properties:
Crystal system = trigonal
Final energy = -336.260 eV for the cell shown
N(E_F) = 5.3 states/eV/f.u.
E_form (uncorrected) = -1.917 eV/atom

=====

No. 6
VASP calculation (PBE) on a relaxed Mg2AgHg2 crystal.

a = 7.9519 Å, b = 7.9519 Å, c = 3.3681 Å
α = 90.00°, β = 90.00°, γ = 90.00°
Space group P4/mbm (No. 127)
One atom of each set of equivalent atoms:
Mg (0.1633, 0.3367, 0.0000)
Ag (0.0000, 0.0000, 0.5000)
Hg (0.1386, 0.6386, 0.5000)

Computed properties:
Crystal system = tetragonal
Final energy = -14.238 eV for the cell shown
Offset from the most stable computed form = 33 meV/atom
N(E_F) = 1.5 states/eV/f.u.
Energy of formation = -0.09 eV per atom

=====

No. 7
VASP calculation (PBE) on a relaxed KMgGeCl5 crystal.

a = 9.5353 Å, b = 10.8095 Å, c = 9.9904 Å
α = 90.00°, β = 115.39°, γ = 90.00°
Space group C2/c (No. 15)
One atom of each set of equivalent atoms:
K (0.0000, 0.0774, 0.2500)
Mg (0.2500, 0.2500, 0.0000)
Ge (0.0000, 0.4916, 0.2500)
Cl (0.0000, 0.2271, 0.7500)
Cl (0.0559, 0.3315, 0.1027)
Cl (0.2060, 0.0390, 0.0649)

Computed properties:
Crystal system = monoclinic
Final energy = -112.632 eV for the cell shown
N(E_F) = 0.0 states/eV/f.u.
E_form (uncorrected) = -1.452 eV/atom

=====

No. 8
VASP calculation (PBE) on a relaxed Y2IrPb crystal.

a = 3.8521 Å, b = 4.3162 Å, c = 6.5648 Å
α = 90.00°, β = 90.00°, γ = 90.00°
Space group Pmm2 (No. 25)
One atom of each set of equivalent atoms:
Y (0.0000, 0.0000, 0.0000)
Y (0.5000, 0.5000, 0.3350)
Ir (0.0000, 0.0000, 0.4051)
Pb (0.5000, 0.5000, 0.8041)

Computed properties:
Crystal system = orthorhombic
Final energy = -26.836 eV for the cell shown
N(E_F) = 2.0 states/eV/f.u.
Energy of formation = -0.33 eV per atom

=====

No. 9
VASP calculation (PBE) on a relaxed Al2CoHg crystal.

a = 2.9822 Å, b = 2.9822 Å, c = 25.3576 Å
α = 90.00°, β = 90.00°, γ = 120.00°
Space group R-3m (No. 166, hexagonal axes)
One atom of each set of equivalent atoms:
Al (0.0000, 0.0000, 0.2347)
Co (0.0000, 0.0000, 0.5000)
Hg (0.0000, 0.0000, 0.0000)

Computed properties:
Crystal system = trigonal
Final energy = -44.769 eV for the cell shown
Offset from the most stable computed form = 202 meV/atom
N(E_F) = 2.3 states/eV/f.u.
Energy of formation = -0.01 eV per atom

=====

No. 10
VASP calculation (PBE) on a relaxed Ca2Co3Ge5 crystal.

a = 11.0659 Å, b = 12.0651 Å, c = 5.7079 Å
α = 90.00°, β = 119.07°, γ = 90.00°
Space group C2/c (No. 15)
One atom of each set of equivalent atoms:
Ca (0.2319, 0.1416, 0.2371)
Co (0.0000, 0.4940, 0.7500)
Co (0.0934, 0.1402, 0.6171)
Ge (0.0000, 0.0073, 0.2500)
Ge (0.0000, 0.2748, 0.2500)
Ge (0.0000, 0.2869, 0.7500)
Ge (0.1711, 0.4103, 0.1744)

Computed properties:
Crystal system = monoclinic
Final energy = -210.668 eV for the cell shown
N(E_F) = 5.2 states/eV/f.u.
Energy of formation = -0.43 eV per atom

=====

No. 11
VASP calculation (PBE) on a relaxed Pm3Al7Ni4 crystal.

a = 15.3987 Å, b = 4.1597 Å, c = 9.4046 Å
α = 90.00°, β = 124.70°, γ = 90.00°
Space group C2/m (No. 12)
One atom of each set of equivalent atoms:
Pm (0.0000, 0.0000, 0.0000)
Pm (0.1914, 0.5000, 0.6966)
Al (0.0000, 0.0000, 0.5000)
Al (0.0061, 0.5000, 0.2876)
Al (0.1574, 0.0000, 0.4224)
Al (0.1813, 0.5000, 0.0217)
Ni (0.1159, 0.0000, 0.8387)
Ni (0.1631, 0.5000, 0.2846)

Computed properties:
Crystal system = monoclinic
Final energy = -142.771 eV for the cell shown
N(E_F) = 7.4 states/eV/f.u.
Energy of formation = -0.56 eV per atom

=====

No. 12
VASP calculation (PBE) on a relaxed Pa3Fe9B2Os crystal.

a = 5.4486 Å, b = 5.4486 Å, c = 8.0035 Å
α = 90.00°, β = 90.00°, γ = 120.00°
Space group P-3m1 (No. 164)
One atom of each set of equivalent atoms:
Pa (0.0000, 0.0000, 0.0000)
Pa (0.3333, 0.6667, 0.6685)
Fe (0.0000, 0.5000, 0.0000)
Fe (0.1686, 0.3372, 0.2856)
B (0.3333, 0.6667, 0.1410)
Os (0.0000, 0.0000, 0.5000)

Computed properties:
Crystal system = trigonal
Final energy = -130.743 eV for the cell shown
N(E_F) = 13.3 states/eV/f.u.
Energy of formation = -0.10 eV per atom

=====

No. 13
VASP calculation (PBE) on a relaxed Rb2GeAu5 crystal.

a = 6.3792 Å, b = 6.3792 Å, c = 11.0004 Å
α = 90.00°, β = 90.00°, γ = 90.00°
Space group I4mm (No. 107)
One atom of each set of equivalent atoms:
Rb (0.0000, 0.5000, 0.0000)
Ge (0.0000, 0.0000, 0.1670)
Au (0.0000, 0.0000, 0.9271)
Au (0.2304, 0.2304, 0.7464)

Computed properties:
Crystal system = tetragonal
Final energy = -48.810 eV for the cell shown
N(E_F) = 3.1 states/eV/f.u.
Energy of formation = -0.18 eV per atom

=====

No. 14
VASP calculation (PBE) on a relaxed NdTlCuAg crystal.

a = 7.0437 Å, b = 7.0437 Å, c = 7.0437 Å
α = 90.00°, β = 90.00°, γ = 90.00°
Space group F-43m (No. 216)
One atom of each set of equivalent atoms:
Nd (0.0000, 0.0000, 0.0000)
Tl (0.0000, 0.0000, 0.5000)
Cu (0.2500, 0.2500, 0.2500)
Ag (0.2500, 0.2500, 0.7500)

Computed properties:
Crystal system = cubic
Final energy = -59.189 eV for the cell shown
N(E_F) = 2.3 states/eV/f.u.
Energy of formation = -0.18 eV per atom

=====

No. 15
VASP calculation (PBE) on a relaxed ZrTc crystal.

a = 3.0735 Å, b = 3.0735 Å, c = 7.9384 Å
α = 90.00°, β = 90.00°, γ = 90.00°
Space group P4/nmm (No. 129, origin choice 2)
One atom of each set of equivalent atoms:
Zr (0.2500, 0.2500, 0.1579)
Tc (0.2500, 0.2500, 0.5895)

Computed properties:
Crystal system = tetragonal
Final energy = -38.075 eV for the cell shown
N(E_F) = 2.4 states/eV/f.u.
Energy of formation = -0.06 eV per atom

=====

No. 16
VASP calculation (PBE) on a relaxed Dy4Y2Sc5 crystal.

a = 21.0336 Å, b = 3.5641 Å, c = 8.6520 Å
α = 90.00°, β = 104.45°, γ = 90.00°
Space group C2/m (No. 12)
One atom of each set of equivalent atoms:
Dy (0.0293, 0.0000, 0.2129)
Dy (0.1760, 0.5000, 0.4136)
Y (0.1172, 0.5000, 0.9934)
Sc (0.0000, 0.5000, 0.5000)
Sc (0.1182, 0.0000, 0.6749)
Sc (0.2458, 0.5000, 0.8324)

Computed properties:
Crystal system = monoclinic
Final energy = -124.778 eV for the cell shown
N(E_F) = 18.5 states/eV/f.u.
Energy of formation = 0.06 eV per atom

=====

No. 17
VASP calculation (PBE) on a relaxed Rb2LiTa crystal.

a = 8.8888 Å, b = 8.8888 Å, c = 8.8888 Å
α = 90.00°, β = 90.00°, γ = 90.00°
Space group Fm-3m (No. 225)
One atom of each set of equivalent atoms:
Rb (0.2500, 0.2500, 0.2500)
Li (0.0000, 0.0000, 0.0000)
Ta (0.0000, 0.0000, 0.5000)

Computed properties:
Crystal system = cubic
Final energy = -38.168 eV for the cell shown
Offset from the most stable computed form = 0 meV/atom
N(E_F) = 4.3 states/eV/f.u.
Energy of formation = 1.54 eV per atom

=====

No. 18
VASP calculation (PBE) on a relaxed SrHfUSe6 crystal.

a = 6.9103 Å, b = 6.9103 Å, c = 13.4748 Å
α = 90.00°, β = 90.00°, γ = 120.00°
Space group P-31c (No. 163)
One atom of each set of equivalent atoms:
Sr (0.0000, 0.0000, 0.0000)
Hf (0.3333, 0.6667, 0.2500)
U (0.3333, 0.6667, 0.7500)
Se (0.0029, 0.3758, 0.1331)

Computed properties:
Crystal system = trigonal
Final energy = -110.721 eV for the cell shown
E_form (uncorrected) = -1.281 eV/atom

=====

No. 19
VASP calculation (PBE) on a relaxed ZrTi2Tc crystal.

a = 3.1547 Å, b = 3.1547 Å, c = 7.0593 Å
α = 90.00°, β = 90.00°, γ = 90.00°
Space group P4/mmm (No. 123)
One atom of each set of equivalent atoms:
Zr (0.0000, 0.0000, 0.0000)
Ti (0.5000, 0.5000, 0.2930)
Tc (0.0000, 0.0000, 0.5000)

Computed properties:
Crystal system = tetragonal
Final energy = -35.744 eV for the cell shown
Offset from the most stable computed form = 0 meV/atom
N(E_F) = 4.2 states/eV/f.u.
Energy of formation = -0.26 eV per atom

=====

No. 20
VASP calculation (PBE) on a relaxed LaMn3N crystal.

a = 4.6543 Å, b = 4.6543 Å, c = 4.6543 Å
α = 90.00°, β = 90.00°, γ = 90.00°
Space group Pm-3m (No. 221)
One atom of each set of equivalent atoms:
La (0.0000, 0.0000, 0.0000)
Mn (0.0000, 0.0000, 0.5000)
N (0.5000, 0.5000, 0.5000)

Computed properties:
Crystal system = cubic
Final energy = -27.568 eV for the cell shown
Offset from the most stable computed form = 2499 meV/atom
N(E_F) = 5.3 states/eV/f.u.
E_form (uncorrected) = 2.639 eV/atom